## Tb2SnSe3 (PBE)

Data for crystalline Tb2SnSe3 at its relaxed geometry.

Results
E ... -5.23 eV/atom
Spin magnetization ... 0.0 μB/f.u.

a = 4.140 Å, b = 4.140 Å, c = 10.429 Å
α = 90.00°, β = 90.00°, γ = 120.00°
Positions (direct):
Tb (0.333, 0.667, 0.147)
Tb (0.667, 0.333, 0.853)
Sn (0.000, 0.000, 0.500)
Se (0.000, 0.000, 0.000)
Se (0.333, 0.667, 0.680)
Se (0.667, 0.333, 0.320)